The following is a PBE calculation of ReIrCl after structural relaxation, from the Alexandria database.

Lattice parameters (Å, degrees): 7.492 7.201 2.866 84.52 73.10 22.38
Fractional positions:
Cl  0.018  0.018  0.982
Ir  0.317  0.317  0.683
Re  0.665  0.665  0.335

The value obtained for the raw formation energy is 59 kJ per mole of atoms. For the total magnetization, the calculation gives 0.0 μB/cell. As for the space group: Fmm2.

---

The following is a PBE calculation of Cd3SiAs after structural relaxation, from the Alexandria database.

Lattice parameters (Å, degrees): 5.088 5.088 5.088 90.00 90.00 90.00
Fractional positions:
As  0.500  0.500  0.500
Si  0.000  0.000  0.000
Cd  0.000  0.500  0.000
Cd  0.000  0.000  0.500
Cd  0.500  0.000  0.000

The value obtained for the raw formation energy is 52 kJ per mole of atoms. For the total magnetization, the calculation gives 1.2 μB/cell. As for the space group: Pm-3m.

---

The following is a PBE calculation of Ac2LuHg after structural relaxation, from the Alexandria database.

Lattice parameters (Å, degrees): 3.991 3.991 8.917 90.00 90.00 90.00
Fractional positions:
Ac  0.000  0.000  0.770
Ac  0.000  0.000  0.230
Lu  0.500  0.500  0.500
Hg  0.500  0.500  0.000

The formation energy is -0.17 eV per atom. For the total magnetization, the calculation gives 0.0 μB/cell. As for the space group: P4/mmm.

---

The following is a PBE calculation of RbTe2Br2 after structural relaxation, from the Alexandria database.

Lattice parameters (Å, degrees): 6.232 6.232 6.922 63.25 63.25 90.00
Fractional positions:
Te  0.380  0.380  0.240
Te  0.620  0.620  0.760
Br  0.750  0.250  0.500
Br  0.250  0.750  0.500
Rb  0.000  0.000  0.000

The value obtained for the raw formation energy is -46 kJ per mole of atoms. For the total magnetization, the calculation gives 0.0 μB/cell. As for the space group: I4/mmm.

---

The following is a PBE calculation of I3BrF after structural relaxation, from the Alexandria database.

Lattice parameters (Å, degrees): 5.857 5.857 5.857 90.00 90.00 90.00
Fractional positions:
I  0.000  0.500  0.000
I  0.000  0.000  0.500
I  0.500  0.000  0.000
Br  0.000  0.000  0.000
F  0.500  0.500  0.500

The value obtained for the raw formation energy is 39 kJ per mole of atoms. For the total magnetization, the calculation gives 1.3 μB/cell. As for the space group: Pm-3m.

---

The following is a PBE calculation of Si3HgS after structural relaxation, from the Alexandria database.

Lattice parameters (Å, degrees): 5.043 5.043 5.043 90.00 90.00 90.00
Fractional positions:
S  0.500  0.500  0.500
Si  0.000  0.500  0.000
Si  0.000  0.000  0.500
Si  0.500  0.000  0.000
Hg  0.000  0.000  0.000

The value obtained for the raw formation energy is 137 kJ per mole of atoms. For the total magnetization, the calculation gives 0.0 μB/cell. As for the space group: Pm-3m.

---

The following is a PBE calculation of KYHf after structural relaxation, from the Alexandria database.

Lattice parameters (Å, degrees): 5.145 3.440 13.044 97.08 90.00 90.00
Fractional positions:
Y  0.100  0.407  0.847
Y  0.600  0.262  0.534
K  0.100  0.663  0.321
K  0.600  0.004  0.060
Hf  0.600  0.860  0.744
Hf  0.100  0.810  0.637

The formation energy is 0.31 eV per atom. For the total magnetization, the calculation gives 0.6 μB/cell. As for the space group: P2_1/m.

---

The following is a PBE calculation of Na3Tb3GaTe8 after structural relaxation, from the Alexandria database.

Lattice parameters (Å, degrees): 8.656 8.661 9.246 118.00 90.00 119.98
Fractional positions:
Na  0.000  0.000  0.000
Na  0.000  0.500  0.000
Na  0.500  0.500  0.000
Tb  0.500  0.000  0.500
Tb  0.500  0.500  0.500
Tb  0.000  0.500  0.500
Ga  0.000  0.000  0.500
Te  0.255  0.510  0.266
Te  0.745  0.490  0.734
Te  0.769  0.538  0.279
Te  0.231  0.462  0.721
Te  0.767  0.010  0.278
Te  0.233  0.990  0.722
Te  0.243  0.010  0.278
Te  0.757  0.990  0.722

The value obtained for the raw formation energy is -97 kJ per mole of atoms. For the total magnetization, the calculation gives 0.0 μB/cell. As for the space group: C2/m.

---

no.,volume (Å³/cell)
1,50
2,132
3,142
4,207
5,201
6,128
7,229
8,505